No. 1
The following is a DFT calculation (GGA-PBE) of a geometry-optimized K4Hg2I structure.

Structure (CIF):
```
data_K4Hg2I
_chemical_formula_sum 'K8 Hg4 I2'
_cell_length_a 6.7734
_cell_length_b 6.7734
_cell_length_c 17.0502
_cell_angle_alpha 90.00
_cell_angle_beta 90.00
_cell_angle_gamma 90.00
_space_group_name_H-M_alt 'I 4/m m m'
_space_group_IT_number 139
_space_group_name_Hall '-I 4 2'
loop_
_atom_site_label
_atom_site_type_symbol
_atom_site_fract_x
_atom_site_fract_y
_atom_site_fract_z
K1 K 0.0000 0.0000 0.2063
K2 K 0.0000 0.5000 0.0000
Hg1 Hg 0.0000 0.0000 0.4103
I1 I 0.0000 0.0000 0.0000
```

Values from the calculation:
The total moment is 0.00 Bohr magnetons per cell. As for the total energy: -1.361 eV per atom.

***

No. 2
The following is a DFT calculation (GGA-PBE) of a geometry-optimized CaTlSiTeSeF structure.

Structure (CIF):
```
data_CaTlSiTeSeF
_chemical_formula_sum 'Ca1 Tl1 Si1 Te1 Se1 F1'
_cell_length_a 5.9104
_cell_length_b 3.9219
_cell_length_c 7.4432
_cell_angle_alpha 90.00
_cell_angle_beta 97.68
_cell_angle_gamma 90.00
_space_group_name_H-M_alt 'P 1 m 1'
_space_group_IT_number 6
_space_group_name_Hall 'P -2y'
loop_
_atom_site_label
_atom_site_type_symbol
_atom_site_fract_x
_atom_site_fract_y
_atom_site_fract_z
Ca1 Ca 0.0000 0.0000 0.0000
Tl1 Tl 0.5181 0.5000 0.3335
Si1 Si 0.3630 0.0000 0.6685
Te1 Te 0.0442 0.5000 0.6332
Se1 Se 0.4969 0.0000 0.9797
F1 F 0.0262 0.5000 0.1360
```

Values from the calculation:
The total moment is 0.00 Bohr magnetons per cell. As for the energy above the most stable polymorph in this dataset: 0.035 eV per atom.

***

No. 3
The following is a DFT calculation (GGA-PBE) of a geometry-optimized GdLuMgCd structure.

Structure (CIF):
```
data_GdLuMgCd
_chemical_formula_sum 'Gd4 Lu4 Mg4 Cd4'
_cell_length_a 7.4760
_cell_length_b 7.4760
_cell_length_c 7.4760
_cell_angle_alpha 90.00
_cell_angle_beta 90.00
_cell_angle_gamma 90.00
_space_group_name_H-M_alt 'F -4 3 m'
_space_group_IT_number 216
_space_group_name_Hall 'F -4 2 3'
loop_
_atom_site_label
_atom_site_type_symbol
_atom_site_fract_x
_atom_site_fract_y
_atom_site_fract_z
Gd1 Gd 0.0000 0.0000 0.0000
Lu1 Lu 0.2500 0.2500 0.2500
Mg1 Mg 0.2500 0.2500 0.7500
Cd1 Cd 0.0000 0.0000 0.5000
```

Values from the calculation:
The total moment is 30.27 Bohr magnetons per cell. For the calculated formation energy, the calculation gives 0.15 kcal/mol of atoms.

***

No. 4
The following is a DFT calculation (GGA-PBE) of a geometry-optimized TiTc2Sb4 structure.

Structure (CIF):
```
data_TiTc2Sb4
_chemical_formula_sum 'Ti4 Tc8 Sb16'
_cell_length_a 7.8140
_cell_length_b 11.5623
_cell_length_c 7.6872
_cell_angle_alpha 90.00
_cell_angle_beta 119.80
_cell_angle_gamma 90.00
_space_group_name_H-M_alt 'C 1 c 1'
_space_group_IT_number 9
_space_group_name_Hall 'C -2yc'
loop_
_atom_site_label
_atom_site_type_symbol
_atom_site_fract_x
_atom_site_fract_y
_atom_site_fract_z
Ti1 Ti 0.0000 0.1280 0.0000
Tc1 Tc 0.4225 0.1414 0.4021
Tc2 Tc 0.4934 0.3926 0.9001
Sb1 Sb 0.1172 0.2930 0.2939
Sb2 Sb 0.1560 0.2393 0.7669
Sb3 Sb 0.2762 0.4739 0.0682
Sb4 Sb 0.3277 0.0249 0.0661
```

Values from the calculation:
The total moment is 0.00 Bohr magnetons per cell. As for the total energy: -6.581 eV per atom.